Entry from Alexandria via LeMat-Bulk: CaRhI after structural relaxation (PBE).

Properties
uncorrected energy: -4.183 eV/atom
raw formation energy: -548 meV/atom
symmetry: Pm

a = 4.1721 Å, b = 4.7787 Å, c = 8.6357 Å
α = 78.18°, β = 90.00°, γ = 90.01°
Fractional positions:
I 0.2065 0.0763 0.2774
I 0.2065 0.4393 0.6711
Ca 0.7067 0.5426 0.3727
Ca 0.7068 0.7435 0.9162
Rh 0.2070 0.6236 0.1483
Rh 0.2070 0.1881 0.9675